Entry 1:
# MnNi2Se

An optimized crystal structure of MnNi2Se (PBE, Alexandria via LeMat-Bulk).

## Properties
total moment = 3.43 Bohr magnetons per cell
space group = F-43m, No. 216
VASP energy = -5.93 eV per atom

Cell lengths 4.165, 4.165, 4.165 Å; angles 60.00, 60.00, 60.00 degrees
Element x y z (fractional)
1 Mn 0.000 0.000 0.000
2 Ni 0.500 0.500 0.500
3 Ni 0.750 0.750 0.750
4 Se 0.250 0.250 0.250


Entry 2:
# MnNi2Se

An optimized crystal structure of MnNi2Se (PBE, Alexandria via LeMat-Bulk).

## Properties
total moment = 6.78 Bohr magnetons per cell
space group = I-42d, No. 122
VASP energy = -5.90 eV per atom

Cell lengths 5.356, 5.356, 5.356 Å; angles 102.28, 102.28, 125.08 degrees
Element x y z (fractional)
1 Mn 0.000 0.000 0.000
2 Mn 0.750 0.250 0.500
3 Ni 0.151 0.625 0.026
4 Ni 0.375 0.401 0.526
5 Ni 0.599 0.125 0.974
6 Ni 0.875 0.849 0.474
7 Se 0.250 0.750 0.500
8 Se 0.500 0.500 0.000


Entry 3:
# Mn2NiSe

An optimized crystal structure of Mn2NiSe (PBE, Alexandria via LeMat-Bulk).

## Properties
total moment = 7.65 Bohr magnetons per cell
space group = Amm2, No. 38
VASP energy = -6.86 eV per atom

Cell lengths 3.655, 5.084, 5.084 Å; angles 38.31, 90.00, 90.00 degrees
Element x y z (fractional)
1 Mn 0.000 0.000 0.000
2 Mn 0.500 0.321 0.321
3 Ni 0.000 0.742 0.742
4 Se 0.500 0.583 0.583


Entry 4:
# Mn2NiSe

An optimized crystal structure of Mn2NiSe (PBE, Alexandria via LeMat-Bulk).

## Properties
total moment = 13.75 Bohr magnetons per cell
space group = I-42d, No. 122
VASP energy = -6.63 eV per atom

Cell lengths 5.430, 5.430, 5.430 Å; angles 103.16, 103.16, 123.00 degrees
Element x y z (fractional)
1 Mn 0.119 0.625 0.994
2 Mn 0.375 0.369 0.494
3 Mn 0.631 0.125 0.006
4 Mn 0.875 0.881 0.506
5 Ni 0.000 0.000 0.000
6 Ni 0.750 0.250 0.500
7 Se 0.250 0.750 0.500
8 Se 0.500 0.500 0.000


Entry 5:
# MnNiSe2

An optimized crystal structure of MnNiSe2 (PBE, Alexandria via LeMat-Bulk).

## Properties
energy relative to the lowest polymorph listed for this composition = 0 meV per atom
total moment = 0.00 Bohr magnetons per cell
space group = P-4m2, No. 115
VASP energy = -5.81 eV per atom

Cell lengths 3.697, 3.697, 5.910 Å; angles 90.00, 90.00, 90.00 degrees
Element x y z (fractional)
1 Mn 0.000 0.000 0.000
2 Ni 0.500 0.500 0.000
3 Se 0.000 0.500 0.241
4 Se 0.500 0.000 0.759


Entry 6:
# MnNiSe

An optimized crystal structure of MnNiSe (PBE, Alexandria via LeMat-Bulk).

## Properties
energy relative to the lowest polymorph listed for this composition = 38 meV per atom
total moment = 16.35 Bohr magnetons per cell
space group = P1, No. 1
VASP energy = -6.22 eV per atom

Cell lengths 5.996, 6.048, 6.182 Å; angles 68.05, 69.07, 87.18 degrees
Element x y z (fractional)
1 Mn 0.000 0.000 0.000
2 Mn 0.011 0.486 0.469
3 Mn 0.137 0.545 0.920
4 Mn 0.458 0.296 0.623
5 Ni 0.322 0.170 0.083
6 Ni 0.340 0.720 0.458
7 Ni 0.710 0.598 0.183
8 Ni 0.875 0.196 0.330
9 Se 0.142 0.049 0.553
10 Se 0.376 0.781 0.045
11 Se 0.726 0.792 0.450
12 Se 0.732 0.335 0.977


Entry 7:
# MnNiSe2

An optimized crystal structure of MnNiSe2 (PBE, Alexandria via LeMat-Bulk).

## Properties
energy relative to the lowest polymorph listed for this composition = 1 meV per atom
total moment = 3.07 Bohr magnetons per cell
space group = P-3m1, No. 164
VASP energy = -5.81 eV per atom

Cell lengths 3.727, 3.727, 5.655 Å; angles 90.00, 90.00, 120.00 degrees
Element x y z (fractional)
1 Mn 0.000 0.000 0.000
2 Ni 0.000 0.000 0.500
3 Se 0.333 0.667 0.266
4 Se 0.667 0.333 0.734


Entry 8:
# MnNiSe2

An optimized crystal structure of MnNiSe2 (PBE, Alexandria via LeMat-Bulk).

## Properties
energy relative to the lowest polymorph listed for this composition = 198 meV per atom
total moment = 3.44 Bohr magnetons per cell
space group = Imm2, No. 44
VASP energy = -5.61 eV per atom

Cell lengths 6.398, 6.398, 6.398 Å; angles 149.89, 148.84, 43.88 degrees
Element x y z (fractional)
1 Mn 0.000 0.000 0.000
2 Ni 0.203 0.703 0.500
3 Se 0.402 0.402 0.000
4 Se 0.660 0.160 0.500